A | VASP calculation (PBE-GGA) on Cu2TeSe2 after structural relaxation.

a = 5.624 Å, b = 6.031 Å, c = 7.559 Å
α = 75.43°, β = 86.11°, γ = 64.68°
Element x y z (fractional)
1 Cu 0.225 0.489 0.214
2 Cu 0.263 0.952 0.178
3 Cu 0.737 0.048 0.822
4 Cu 0.775 0.511 0.786
5 Te 0.305 0.436 0.705
6 Te 0.695 0.564 0.295
7 Se 0.187 0.769 0.927
8 Se 0.268 0.125 0.441
9 Se 0.732 0.875 0.559
10 Se 0.813 0.231 0.073

Values from the calculation:
**D(E_F)**: 0.4047 states/eV per atom
**M_tot**: 0.0 μB per cell
**V**: 22.409 Å³/atom

***

B | VASP calculation (PBE-GGA) on Cu2TeSe2 after structural relaxation.

a = 4.170 Å, b = 4.170 Å, c = 11.200 Å
α = 90.00°, β = 90.00°, γ = 90.00°
Element x y z (fractional)
1 Cu 0.000 0.000 0.113
2 Cu 0.000 0.000 0.887
3 Cu 0.500 0.500 0.387
4 Cu 0.500 0.500 0.613
5 Te 0.000 0.000 0.500
6 Te 0.500 0.500 0.000
7 Se 0.000 0.500 0.250
8 Se 0.000 0.500 0.750
9 Se 0.500 0.000 0.250
10 Se 0.500 0.000 0.750

Values from the calculation:
**D(E_F)**: 0.9302 states/eV per atom
**M_tot**: 0.0 μB per cell
**V**: 19.476 Å³/atom

***

Relative energies, kJ/mol of atoms: A 0.0; B 28.7.

***

A | VASP calculation (PBE-GGA) on CuTeSe3 after structural relaxation.

a = 4.776 Å, b = 4.776 Å, c = 4.776 Å
α = 90.00°, β = 90.00°, γ = 90.00°
Element x y z (fractional)
1 Cu 0.000 0.000 0.000
2 Te 0.500 0.500 0.500
3 Se 0.000 0.000 0.500
4 Se 0.000 0.500 0.000
5 Se 0.500 0.000 0.000

Values from the calculation:
**D(E_F)**: 0.9297 states/eV per atom
**M_tot**: 0.0 μB per cell
**V**: 21.787 Å³/atom

***

B | VASP calculation (PBE-GGA) on CuTeSe3 after structural relaxation.

a = 4.456 Å, b = 8.130 Å, c = 8.861 Å
α = 71.65°, β = 78.08°, γ = 84.82°
Element x y z (fractional)
1 Cu 0.248 0.479 0.182
2 Cu 0.752 0.521 0.818
3 Te 0.150 0.124 0.645
4 Te 0.850 0.876 0.355
5 Se 0.211 0.409 0.933
6 Se 0.279 0.169 0.345
7 Se 0.288 0.645 0.357
8 Se 0.712 0.355 0.643
9 Se 0.721 0.831 0.655
10 Se 0.789 0.591 0.067

Values from the calculation:
**D(E_F)**: 0.4414 states/eV per atom
**M_tot**: 0.0 μB per cell
**V**: 29.799 Å³/atom

***

Relative energies, kJ/mol of atoms: A 34.2; B 0.0.